[1]
The following is a GGA-PBE calculation of an optimized crystal structure of KIn5Pd2, from the Alexandria database.

The structure in POSCAR format:
```
KIn5Pd2
1.0
-3.542 -0.308 -2.589
-4.775 -4.379 3.318
-5.393 3.693 3.203
K In Pd
1 5 2
direct
0.000 0.000 0.000
0.000 0.500 0.500
0.653 0.546 0.148
0.347 0.454 0.852
0.347 0.852 0.454
0.653 0.148 0.546
0.765 0.735 0.735
0.235 0.265 0.265
```

Computed properties:
Fermi-level density of states (states/eV/atom): 0.438
DFT formation energy (eV per atom): -0.31

[2]
The following is a GGA-PBE calculation of an optimized crystal structure of K2In12Pd7, from the Alexandria database.

The structure in POSCAR format:
```
K2In12Pd7
1.0
4.503 0.000 0.000
0.000 9.545 -5.511
0.000 0.000 11.022
K In Pd
2 12 7
direct
0.500 0.000 0.000
0.000 0.667 0.333
0.500 0.917 0.609
0.500 0.692 0.083
0.500 0.391 0.308
0.500 0.245 0.786
0.500 0.541 0.755
0.500 0.214 0.459
0.000 0.041 0.509
0.000 0.468 0.959
0.000 0.491 0.532
0.000 0.814 0.741
0.000 0.927 0.186
0.000 0.259 0.073
0.000 0.333 0.667
0.000 0.088 0.779
0.000 0.690 0.912
0.000 0.221 0.310
0.500 0.654 0.578
0.500 0.923 0.346
0.500 0.422 0.077
```

Computed properties:
Fermi-level density of states (states/eV/atom): 0.420
DFT formation energy (eV per atom): -0.36

[3]
The following is a GGA-PBE calculation of an optimized crystal structure of KIn4Pd2Pt, from the Alexandria database.

The structure in POSCAR format:
```
KIn4Pd2Pt
1.0
-1.841 -2.852 3.069
2.312 -1.074 3.800
-4.321 7.060 7.380
K In Pd Pt
1 4 2 1
direct
0.000 0.000 0.000
0.409 0.409 0.773
0.865 0.865 0.405
0.135 0.135 0.595
0.591 0.591 0.227
0.773 0.773 0.680
0.227 0.227 0.320
0.500 0.500 0.500
```

Computed properties:
Fermi-level density of states (states/eV/atom): 0.414
DFT formation energy (eV per atom): -0.37